Density functional theory data (PBE-GGA) for crystalline Rb2CeErO4 at its relaxed geometry.

## Properties
Raw formation energy   -2.6185 eV/atom
Space-group type   P2/m, No. 10
Calculated total energy   -6.652 eV per atom
N(E_F)   0.33 states/eV/atom
M_tot   0.969 μB/cell
Volume   146 Å³/cell

Unit cell a=6.1977 b=3.5742 c=6.8911 alpha=90.00 beta=107.37 gamma=90.00
Element x y z (fractional)
Rb 0.0000 0.0000 0.0000
Rb 0.5000 0.5000 0.0000
Ce 0.0000 0.5000 0.5000
Er 0.5000 0.0000 0.5000
O 0.2361 0.0000 0.6754
O 0.2846 0.5000 0.3263
O 0.7154 0.5000 0.6737
O 0.7639 0.0000 0.3246